5
Lattice="4.001 0.000 0.000 0.000 4.001 0.000 0.000 0.000 4.001" Properties=species:S:1:pos:R:3 comment="CrNiF3, optimized geometry, DFT GGA+U" final_energy_ev_per_atom=-4.86 pbc="T T T"
Cr 0.000 0.000 0.000
Ni 2.001 2.001 2.001
F 0.000 2.001 2.001
F 2.001 0.000 2.001
F 2.001 2.001 0.000